Record 1
Mn4CoIr | the Alexandria database | GGA-PBEsol | optimized geometry; ΔH_f (0 K) = 0.1114 eV per atom; symmetry = F-43m
1.0
4.552 0.000 0.000
2.276 3.942 0.000
2.276 1.314 3.717
Mn Co Ir
4 1 1
Direct
0.376 0.376 0.871
0.376 0.376 0.376
0.376 0.871 0.376
0.871 0.376 0.376
0.750 0.750 0.750
0.000 0.000 0.000



Record 2
BeFeP | the Alexandria database | GGA-PBEsol | optimized geometry; ΔH_f (0 K) = -0.4718 eV per atom; symmetry = I4mm
1.0
2.870 0.000 0.000
0.000 2.879 0.000
-1.435 -1.439 3.413
P Be Fe
1 1 1
Direct
0.330 0.330 0.660
0.001 0.001 0.002
0.669 0.669 0.338



Record 3
Sr2LaPt | the Alexandria database | GGA-PBEsol | optimized geometry; ΔH_f (0 K) = -0.4441 eV per atom; energy relative to the lowest polymorph listed for this composition = 1.24 kcal/mol of atoms; symmetry = P4mm
1.0
3.741 0.027 0.000
-0.026 3.741 0.000
0.000 0.000 9.985
La Sr Pt
1 2 1
Direct
0.000 0.000 0.414
0.000 0.000 0.076
0.500 0.500 0.736
0.500 0.500 0.274



Record 4
BaW2Cl | the Alexandria database | GGA-PBEsol | optimized geometry; energy relative to the lowest polymorph listed for this composition = 0.00 kcal/mol of atoms; uncorrected formation energy = 0.169 eV/atom; symmetry = Amm2
1.0
-3.145 -0.029 -0.742
0.362 -3.065 -1.418
-1.822 -1.943 7.801
Cl W Ba
1 2 1
Direct
0.500 0.923 0.847
0.000 0.792 0.583
0.500 0.220 0.440
0.000 0.562 0.125



Record 5
MgTaHg2 | the Alexandria database | GGA-PBEsol | optimized geometry; ΔH_f (0 K) = 0.1675 eV per atom; symmetry = Amm2
1.0
-3.047 0.136 -0.075
-0.201 -2.372 3.850
1.663 4.711 2.990
Hg Ta Mg
2 1 1
Direct
0.209 0.000 0.418
0.048 0.500 0.095
0.800 0.500 0.600
0.456 0.000 0.911



Record 6
CrInTe2I | the Alexandria database | GGA-PBEsol | optimized geometry; uncorrected formation energy = 0.105 eV/atom; symmetry = P4/mmm
1.0
5.151 0.000 0.000
0.000 5.151 0.000
0.000 0.000 5.679
Te I Cr In
2 1 1 1
Direct
0.000 0.500 0.000
0.500 0.000 0.000
0.000 0.000 0.500
0.000 0.000 0.000
0.500 0.500 0.500



Record 7
ScCd2 | the Alexandria database | GGA-PBEsol | optimized geometry; ΔH_f (0 K) = -0.2387 eV per atom; symmetry = I4_1/amd
1.0
4.368 0.000 0.000
0.000 4.368 0.000
-2.184 -2.184 13.015
Sc Cd
4 8
Direct
0.168 0.668 0.336
0.082 0.082 0.164
0.918 0.918 0.836
0.332 0.832 0.664
0.752 0.752 0.503
0.415 0.415 0.830
0.498 0.998 0.997
0.248 0.248 0.497
0.585 0.585 0.170
0.665 0.165 0.330
0.002 0.502 0.003
0.835 0.335 0.670



Record 8
CaIrW2 | the Alexandria database | GGA-PBEsol | optimized geometry; ΔH_f (0 K) = 0.4609 eV per atom; energy relative to the lowest polymorph listed for this composition = 0.00 kcal/mol of atoms; symmetry = Pm
1.0
-0.263 -0.639 -2.702
-0.173 -4.219 1.015
-5.537 0.564 1.404
W Ir Ca
2 1 1
Direct
0.778 0.500 0.214
0.978 0.000 0.002
0.227 0.500 0.775
0.517 0.000 0.509



Record 9
SiPb2SF | the Alexandria database | GGA-PBEsol | optimized geometry; uncorrected formation energy = -0.113 eV/atom; symmetry = P4/mmm
1.0
3.913 0.000 0.000
0.000 5.344 0.000
0.000 0.000 5.344
Pb F Si S
2 1 1 1
Direct
0.000 0.500 0.000
0.000 0.000 0.500
0.000 0.000 0.000
0.500 0.000 0.000
0.500 0.500 0.500



Record 10
Ni2MoPb | the Alexandria database | GGA-PBEsol | optimized geometry; ΔH_f (0 K) = 0.4612 eV per atom; symmetry = Cmmm
1.0
-1.456 2.085 1.415
-2.687 -3.161 1.893
3.452 0.407 2.952
Pb Mo Ni
1 1 2
Direct
0.500 0.500 0.500
0.500 0.000 0.000
0.000 0.500 0.000
0.000 0.000 0.500



Record 11
YTe | the Alexandria database | GGA-PBEsol | optimized geometry; uncorrected formation energy = -1.305 eV/atom; symmetry = Cm
1.0
3.924 0.000 0.000
-1.962 5.545 0.012
0.000 -2.600 7.481
Te Y
3 3
Direct
0.934 0.868 0.990
0.718 0.436 0.344
0.613 0.225 0.721
0.007 0.014 0.391
0.233 0.465 0.057
0.329 0.657 0.663



Record 12
HfAl2Sn | the Alexandria database | GGA-PBEsol | optimized geometry; ΔH_f (0 K) = 0.1940 eV per atom; symmetry = I-42d
1.0
5.688 0.000 0.000
2.844 5.431 0.000
2.844 0.000 5.431
Al Sn Hf
4 2 2
Direct
0.375 0.488 0.012
0.137 0.988 0.488
0.613 0.012 0.512
0.875 0.512 0.988
0.500 0.000 0.000
0.250 0.500 0.500
0.750 0.500 0.500
0.000 0.000 0.000



Record 13
CoAuSCl2 | the Alexandria database | GGA-PBEsol | optimized geometry; uncorrected formation energy = 0.792 eV/atom; symmetry = P4/mmm
1.0
-3.633 2.862 -1.106
-2.084 -1.043 4.145
2.354 3.817 2.143
S Cl Co Au
1 2 1 1
Direct
0.000 0.000 0.500
0.000 0.500 0.000
0.500 0.000 0.000
0.500 0.500 0.500
0.000 0.000 0.000



Record 14
NpN2 | the Alexandria database | GGA-PBEsol | optimized geometry; uncorrected formation energy = -1.104 eV/atom; symmetry = Fm-3m
1.0
-3.384 1.364 -0.011
-1.854 0.255 -3.132
-2.849 -2.194 -0.618
N Np
2 1
Direct
0.750 0.750 0.750
0.250 0.250 0.250
0.000 0.000 0.000



Record 15
LiCd2Te | the Alexandria database | GGA-PBEsol | optimized geometry; uncorrected formation energy = -0.252 eV/atom; symmetry = P4mm
1.0
3.908 0.000 0.000
0.000 3.908 0.000
0.000 0.000 5.980
Cd Li Te
2 1 1
Direct
0.000 0.000 0.032
0.500 0.500 0.227
0.000 0.000 0.531
0.500 0.500 0.710



Record 16
SiNi2Pt | the Alexandria database | GGA-PBEsol | optimized geometry; uncorrected formation energy = -0.521 eV/atom; symmetry = P4/mmm
1.0
-1.598 -2.843 1.509
0.998 -2.039 -2.786
3.100 -0.830 1.718
Ni Pt Si
2 1 1
Direct
0.000 0.500 0.000
0.500 0.000 0.000
0.500 0.500 0.500
0.000 0.000 0.500



Record 17
CdMoPS2 | the Alexandria database | GGA-PBEsol | optimized geometry; uncorrected formation energy = 1.415 eV/atom; symmetry = P4/mmm
1.0
4.782 0.000 0.000
0.000 4.822 0.000
0.000 0.000 4.822
Cd P Mo S
1 1 1 2
Direct
0.000 0.000 0.000
0.500 0.000 0.000
0.500 0.500 0.500
0.000 0.000 0.500
0.000 0.500 0.000



Record 18
LaMn3 | the Alexandria database | GGA-PBEsol | optimized geometry; ΔH_f (0 K) = 0.4228 eV per atom; symmetry = P4/mmm
1.0
2.995 0.000 0.089
0.000 2.992 0.000
-0.209 0.000 7.181
La Mn
1 3
Direct
0.000 0.000 0.000
0.500 0.500 0.324
0.500 0.500 0.676
0.000 0.000 0.500



Record 19
Ni3MoH | the Alexandria database | GGA-PBEsol | optimized geometry; symmetry = Pm-3m; E_tot = -4.64 eV/atom
1.0
-0.121 -2.972 -3.280
4.389 0.342 -0.472
0.570 -3.264 2.937
Ni H Mo
3 1 1
Direct
0.500 0.000 0.000
0.000 0.000 0.500
0.000 0.500 0.000
0.500 0.500 0.500
0.000 0.000 0.000



Record 20
CaTiF5 | the Alexandria database | GGA-PBEsol | optimized geometry; energy relative to the lowest polymorph listed for this composition = 0.15 kcal/mol of atoms; uncorrected formation energy = -3.572 eV/atom; symmetry = P2_1/c
1.0
-2.493 -4.488 -1.976
5.088 -2.032 5.353
-7.182 0.843 7.146
F Ca Ti
20 4 4
Direct
0.817 0.860 0.859
0.817 0.360 0.641
0.885 0.306 0.901
0.600 0.553 0.118
0.147 0.662 0.798
0.853 0.338 0.202
0.147 0.162 0.702
0.115 0.694 0.099
0.183 0.640 0.359
0.400 0.447 0.882
0.115 0.194 0.401
0.853 0.838 0.298
0.359 0.498 0.610
0.183 0.140 0.141
0.359 0.998 0.890
0.641 0.502 0.390
0.641 0.002 0.110
0.400 0.947 0.618
0.600 0.053 0.382
0.885 0.806 0.599
0.468 0.744 0.980
0.532 0.256 0.020
0.468 0.244 0.520
0.532 0.756 0.480
0.892 0.599 0.246
0.108 0.401 0.754
0.108 0.901 0.746
0.892 0.099 0.254



Table of density of states at the Fermi level (states/eV per atom), in record order: 1.466, 0.290, 0.861, 0.689, 0.678, 0.872, 0.788, 0.728, 0.692, 1.595, 0.694, 0.603, 2.058, 1.076, 0.310, 0.517, 0.636, 1.219, 1.154, 0.433
Table of density (g/cm³), in record order: 11.7, 5.6, 6.1, 10.1, 13.0, 6.0, 7.2, 14.5, 7.3, 11.9, 6.6, 7.0, 5.3, 12.8, 6.5, 12.0, 4.5, 7.8, 5.2, 3.0